HgTeN2: optimized geometry, PBE.

Unit cell a=6.750 b=6.750 c=6.750 alpha=30.47 beta=30.47 gamma=30.47
Positions (direct):
N  0.892  0.892  0.892
N  0.108  0.108  0.108
Te  0.000  0.000  0.000
Hg  0.500  0.500  0.500

Properties
* polymorph energy (0 for the lowest one): 5.63 eV/f.u.

HgTeN2: optimized geometry, PBE.

Unit cell a=6.700 b=6.700 c=6.700 alpha=30.85 beta=30.85 gamma=30.85
Positions (direct):
N  0.108  0.108  0.108
N  0.892  0.892  0.892
Hg  0.000  0.000  0.000
Te  0.500  0.500  0.500

Properties
* polymorph energy (0 for the lowest one): 4.17 eV/f.u.

HgTe2N: optimized geometry, PBE.

Unit cell a=7.403 b=7.403 c=7.403 alpha=37.58 beta=37.58 gamma=37.58
Positions (direct):
N  0.000  0.000  0.000
Hg  0.500  0.500  0.500
Te  0.907  0.907  0.907
Te  0.093  0.093  0.093

Properties
* polymorph energy (0 for the lowest one): 0.03 eV/f.u.

Hg3TeN: optimized geometry, PBE.

Unit cell a=5.808 b=5.808 c=5.808 alpha=90.00 beta=90.00 gamma=90.00
Positions (direct):
Hg  0.000  0.500  0.000
Hg  0.000  0.000  0.500
Hg  0.500  0.000  0.000
Te  0.000  0.000  0.000
N  0.500  0.500  0.500

Properties
* polymorph energy (0 for the lowest one): 4.17 eV/f.u.

HgTe2N: optimized geometry, PBE.

Unit cell a=4.940 b=4.940 c=4.940 alpha=60.00 beta=60.00 gamma=60.00
Positions (direct):
N  0.000  0.000  0.000
Te  0.250  0.250  0.250
Te  0.750  0.750  0.750
Hg  0.500  0.500  0.500

Properties
* polymorph energy (0 for the lowest one): 2.82 eV/f.u.

HgTe2N: optimized geometry, PBE.

Unit cell a=5.780 b=5.780 c=7.622 alpha=67.72 beta=67.72 gamma=90.00
Positions (direct):
N  0.250  0.750  0.500
N  0.500  0.500  0.000
Hg  0.750  0.250  0.500
Hg  0.000  0.000  0.000
Te  0.375  0.481  0.750
Te  0.231  0.625  0.250
Te  0.875  0.769  0.750
Te  0.519  0.125  0.250

Properties
* polymorph energy (0 for the lowest one): 0.00 eV/f.u.

HgTeN: optimized geometry, PBE.

Unit cell a=10.107 b=7.838 c=10.568 alpha=89.57 beta=91.12 gamma=165.55
Positions (direct):
N  0.703  0.252  0.030
N  0.980  0.709  0.037
Hg  0.770  0.209  0.538
Hg  0.910  0.750  0.530
Te  0.128  0.259  0.327
Te  0.553  0.700  0.741

Properties
* polymorph energy (0 for the lowest one): 0.05 eV/f.u.

HgTeN2: optimized geometry, PBE.

Unit cell a=4.329 b=4.329 c=4.329 alpha=60.00 beta=60.00 gamma=60.00
Positions (direct):
Te  0.000  0.000  0.000
N  0.250  0.250  0.250
N  0.750  0.750  0.750
Hg  0.500  0.500  0.500

Properties
* polymorph energy (0 for the lowest one): 7.34 eV/f.u.

Hg3TeN2: optimized geometry, PBE.

Unit cell a=8.221 b=8.149 c=24.240 alpha=127.41 beta=129.17 gamma=101.17
Positions (direct):
N  0.022  0.941  0.177
N  0.978  0.059  0.823
N  0.914  0.002  0.666
N  0.086  0.998  0.334
Hg  0.368  0.398  0.620
Hg  0.632  0.602  0.380
Hg  0.590  0.632  0.877
Hg  0.946  0.462  0.816
Hg  0.054  0.538  0.184
Hg  0.410  0.368  0.123
Te  0.078  0.963  0.759
Te  0.922  0.037  0.241

Hg2TeN4: optimized geometry, PBE.

Unit cell a=4.095 b=4.095 c=6.758 alpha=72.36 beta=72.36 gamma=90.00
Each line ends with the local moment (μB).
Positions (direct):
N  0.832  0.832  0.336  0.56
N  0.168  0.168  0.664  0.56
N  0.000  0.500  0.000  0.34
N  0.500  0.000  0.000  0.34
Te  0.000  0.000  0.000  -0.05
Hg  0.349  0.349  0.301  0.01
Hg  0.651  0.651  0.699  0.01

HgTeN3: optimized geometry, PBE.

Unit cell a=4.041 b=4.041 c=4.041 alpha=90.00 beta=90.00 gamma=90.00
Positions (direct):
Hg  0.500  0.500  0.500
N  0.500  0.000  0.000
N  0.000  0.000  0.500
N  0.000  0.500  0.000
Te  0.000  0.000  0.000

HgTeN: optimized geometry, PBE.

Unit cell a=3.316 b=5.559 c=11.404 alpha=104.11 beta=81.86 gamma=90.00
Positions (direct):
Te  0.164  0.835  0.670
Te  0.836  0.165  0.330
N  0.476  0.525  0.051
N  0.524  0.475  0.949
Hg  0.807  0.703  0.405
Hg  0.193  0.297  0.595

Properties
* polymorph energy (0 for the lowest one): 0.00 eV/f.u.

Hg2TeN: optimized geometry, PBE.

Unit cell a=5.118 b=5.118 c=5.118 alpha=60.00 beta=60.00 gamma=60.00
Each line ends with the local moment (μB).
Positions (direct):
Hg  0.750  0.750  0.750  0.06
Hg  0.250  0.250  0.250  0.06
Te  0.500  0.500  0.500  0.13
N  0.000  0.000  0.000  1.57

Properties
* polymorph energy (0 for the lowest one): 2.16 eV/f.u.

HgTeN2: optimized geometry, PBE.

Unit cell a=12.371 b=12.371 c=5.088 alpha=89.41 beta=89.41 gamma=155.58
Positions (direct):
N  0.023  0.144  0.314
N  0.977  0.856  0.686
N  0.856  0.977  0.186
N  0.144  0.023  0.814
Hg  0.500  0.000  0.000
Hg  0.000  0.500  0.500
Te  0.329  0.671  0.750
Te  0.671  0.329  0.250

Properties
* polymorph energy (0 for the lowest one): 0.00 eV/f.u.

HgTeN2: optimized geometry, PBE.

Unit cell a=5.096 b=5.096 c=6.655 alpha=67.49 beta=67.49 gamma=90.00
Positions (direct):
N  0.875  0.838  0.750
N  0.162  0.625  0.250
N  0.588  0.125  0.250
N  0.375  0.412  0.750
Te  0.500  0.500  0.000
Te  0.250  0.750  0.500
Hg  0.000  0.000  0.000
Hg  0.750  0.250  0.500

Properties
* polymorph energy (0 for the lowest one): 4.70 eV/f.u.

HgTeN3: optimized geometry, PBE.

Unit cell a=4.169 b=4.169 c=4.169 alpha=90.00 beta=90.00 gamma=90.00
Positions (direct):
Hg  0.000  0.000  0.000
Te  0.500  0.500  0.500
N  0.500  0.000  0.000
N  0.000  0.000  0.500
N  0.000  0.500  0.000

Hg3TeN: optimized geometry, PBE.

Unit cell a=4.840 b=4.840 c=4.840 alpha=90.00 beta=90.00 gamma=90.00
Positions (direct):
Hg  0.500  0.000  0.000
Hg  0.000  0.000  0.500
Hg  0.000  0.500  0.000
Te  0.500  0.500  0.500
N  0.000  0.000  0.000

Properties
* polymorph energy (0 for the lowest one): 0.00 eV/f.u.

HgTe2N: optimized geometry, PBE.

Unit cell a=10.085 b=10.085 c=10.085 alpha=18.90 beta=18.90 gamma=18.90
Positions (direct):
N  0.500  0.500  0.500
Hg  0.000  0.000  0.000
Te  0.112  0.112  0.112
Te  0.888  0.888  0.888

Properties
* polymorph energy (0 for the lowest one): 0.65 eV/f.u.

Hg2TeN: optimized geometry, PBE.

Unit cell a=6.038 b=6.038 c=7.011 alpha=64.50 beta=64.50 gamma=90.00
Positions (direct):
Hg  0.375  0.489  0.750
Hg  0.511  0.125  0.250
Hg  0.875  0.761  0.750
Hg  0.239  0.625  0.250
Te  0.000  0.000  0.000
Te  0.750  0.250  0.500
N  0.250  0.750  0.500
N  0.500  0.500  0.000

Properties
* polymorph energy (0 for the lowest one): 0.00 eV/f.u.

TlHgTe2N: optimized geometry, PBE.

Unit cell a=6.025 b=6.025 c=4.250 alpha=90.00 beta=90.00 gamma=90.00
Each line ends with the local moment (μB).
Positions (direct):
Tl  0.000  0.000  0.000  0.00
Te  0.500  0.000  0.000  0.20
Te  0.000  0.500  0.000  0.20
Hg  0.500  0.500  0.500  -0.02
N  0.000  0.000  0.500  0.97

Properties
* polymorph energy (0 for the lowest one): 0.99 eV/f.u.

| no. | ρ (g/cm3) | electronic total energy (eV for the cell shown) | formation energy (no corrections) (meV/atom) |
| --- | --- | --- | --- |
| 1 | 8.4 | -14.51 | 1396 |
| 2 | 8.4 | -15.98 | 1029 |
| 3 | 5.8 | -12.23 | 671 |
| 4 | 6.3 | -4.81 | 1512 |
| 5 | 9.2 | -9.44 | 1368 |
| 6 | 7.3 | -24.52 | 663 |
| 7 | 5.4 | -23.22 | 53 |
| 8 | 10.3 | -12.81 | 1822 |
| 9 | 7.2 | -33.48 | 660 |
| 10 | 9.5 | -24.45 | 1800 |
| 11 | 9.3 | -19.34 | 1816 |
| 12 | 5.6 | -23.31 | 37 |
| 13 | 9.5 | -7.13 | 1234 |
| 14 | 3.7 | -40.29 | -13 |
| 15 | 8.1 | -30.88 | 1163 |
| 16 | 8.5 | -15.68 | 2548 |
| 17 | 10.9 | -8.98 | 678 |
| 18 | 8.3 | -11.61 | 826 |
| 19 | 8.9 | -18.58 | 695 |
| 20 | 7.3 | -11.71 | 1114 |